1 | Computed, not measured: a relaxed Mo2Se3S crystal at the GGA-PBE level of DFT.

Calculated values
Crystal system = monoclinic

Structure (POSCAR):
```
Mo2Se3S
1.0
5.952 0.000 0.000
0.000 3.259 0.000
-0.081 0.000 6.831
Mo S Se
2 1 3
Cartesian
5.591 0.000 0.113 Mo
3.252 1.629 6.770 Mo
4.949 1.629 1.737 S
1.934 0.000 1.461 Se
3.899 0.000 4.972 Se
0.966 1.629 5.442 Se
```



2 | Computed, not measured: a relaxed Mo2Se3S crystal at the GGA-PBE level of DFT.

Calculated values
Crystal system = trigonal

Structure (POSCAR):
```
Mo2Se3S
1.0
3.289 0.000 0.000
-1.644 2.848 0.000
0.000 0.000 13.313
Mo S Se
2 1 3
Cartesian
0.000 1.899 3.325 Mo
1.644 0.949 10.049 Mo
0.000 1.899 11.566 S
1.644 0.949 1.635 Se
1.644 0.949 5.013 Se
0.000 1.899 8.350 Se
```



How far above the most stable structure does each one sit? In kJ/mol of atoms: 1 10.3; 2 0.0.



1 | Computed, not measured: a relaxed ThSbMo crystal at the GGA-PBE level of DFT.

Calculated values
Crystal system = cubic

Structure (POSCAR):
```
ThSbMo
1.0
0.396 3.385 3.503
-2.989 3.867 0.011
-3.470 0.396 3.419
Mo Sb Th
1 1 1
Cartesian
-1.516 1.912 1.733 Mo
0.000 0.000 0.000 Sb
-4.548 5.736 5.200 Th
```



2 | Computed, not measured: a relaxed ThSbMo crystal at the GGA-PBE level of DFT.

Calculated values
Crystal system = cubic

Structure (POSCAR):
```
ThSbMo
1.0
-4.419 -2.099 -1.193
-0.834 -4.860 1.017
-3.236 -1.292 3.635
Mo Sb Th
1 1 1
Cartesian
-6.366 -6.189 2.594 Mo
-2.122 -2.063 0.865 Sb
0.000 0.000 0.000 Th
```



How far above the most stable structure does each one sit? In kJ/mol of atoms: 1 0.0; 2 49.4.



1 | Computed, not measured: a relaxed ScSi2Mo2 crystal at the GGA-PBE level of DFT.

Calculated values
Crystal system = tetragonal

Structure (POSCAR):
```
ScSi2Mo2
1.0
-1.950 1.950 5.523
1.950 -1.950 5.523
1.950 1.950 -5.523
Mo Sc Si
2 1 2
Cartesian
0.000 1.950 2.762 Mo
1.950 0.000 2.762 Mo
0.000 0.000 0.000 Sc
0.000 0.000 4.372 Si
0.000 0.000 6.675 Si
```



2 | Computed, not measured: a relaxed ScSi2Mo2 crystal at the GGA-PBE level of DFT.

Calculated values
Crystal system = tetragonal

Structure (POSCAR):
```
ScSi2Mo2
1.0
4.760 -2.393 -0.879
2.371 -0.798 4.785
-4.956 -1.251 -1.739
Mo Sc Si
2 1 2
Cartesian
2.630 -1.177 1.441 Mo
4.501 -2.014 2.465 Mo
0.000 0.000 0.000 Sc
1.684 -2.619 -0.332 Si
0.490 -1.822 2.500 Si
```



How far above the most stable structure does each one sit? In kJ/mol of atoms: 1 0.0; 2 36.5.



1 | Computed, not measured: a relaxed ScTc2Mo crystal at the GGA-PBE level of DFT.

Calculated values
Crystal system = tetragonal

Structure (POSCAR):
```
ScTc2Mo
1.0
3.144 0.000 0.000
0.000 3.144 0.000
0.000 0.000 6.455
Mo Sc Tc
1 1 2
Cartesian
0.000 0.000 3.228 Mo
0.000 0.000 0.000 Sc
1.572 1.572 1.720 Tc
1.572 1.572 4.735 Tc
```



2 | Computed, not measured: a relaxed ScTc2Mo crystal at the GGA-PBE level of DFT.

Calculated values
Crystal system = tetragonal

Structure (POSCAR):
```
ScTc2Mo
1.0
4.474 0.000 0.000
0.000 4.474 0.000
0.000 0.000 3.147
Mo Sc Tc
1 1 2
Cartesian
2.237 2.237 0.000 Mo
0.000 0.000 0.000 Sc
2.237 0.000 1.573 Tc
0.000 2.237 1.573 Tc
```



How far above the most stable structure does each one sit? In kJ/mol of atoms: 1 0.0; 2 3.2.



1 | Computed, not measured: a relaxed ScTc2Mo crystal at the GGA-PBE level of DFT.

Calculated values
Crystal system = orthorhombic

Structure (POSCAR):
```
ScTc2Mo
1.0
-4.572 3.976 -1.771
1.244 -1.278 -6.080
-4.167 -4.729 0.142
Mo Sc Tc
4 4 8
Cartesian
-3.120 2.663 -2.849 Mo
-2.294 -2.328 -4.932 Mo
-5.201 0.297 -2.777 Mo
-4.376 -4.694 -4.860 Mo
-2.497 2.021 -5.888 Sc
-2.914 -1.689 -1.891 Sc
-4.582 -0.342 -5.817 Sc
-4.999 -4.052 -1.821 Sc
-5.612 2.793 -1.737 Tc
-4.991 2.155 -4.774 Tc
-2.705 0.165 -3.891 Tc
-2.084 -0.474 -6.928 Tc
-5.412 -1.557 -0.781 Tc
-4.790 -2.196 -3.818 Tc
-2.505 -4.186 -2.935 Tc
-1.884 -4.825 -5.972 Tc
```



2 | Computed, not measured: a relaxed ScTc2Mo crystal at the GGA-PBE level of DFT.

Calculated values
Crystal system = orthorhombic

Structure (POSCAR):
```
ScTc2Mo
1.0
-2.141 3.570 -3.483
-4.232 -1.881 0.672
-1.674 6.523 7.715
Mo Sc Tc
4 4 8
Cartesian
-2.985 3.022 -2.188 Mo
-4.617 2.584 2.595 Mo
-3.429 5.628 2.309 Mo
-5.062 5.190 7.092 Mo
-1.894 1.174 -0.492 Sc
-5.692 4.405 0.925 Sc
-2.354 3.807 3.979 Sc
-6.152 7.037 5.396 Sc
-3.528 -0.186 1.703 Tc
-4.556 1.599 0.230 Tc
-3.714 5.119 -0.909 Tc
-2.750 3.582 0.859 Tc
-5.296 4.629 4.045 Tc
-4.333 3.093 5.812 Tc
-3.491 6.612 4.674 Tc
-4.518 8.398 3.200 Tc
```



3 | Computed, not measured: a relaxed ScTc2Mo crystal at the GGA-PBE level of DFT.

Calculated values
Crystal system = cubic

Structure (POSCAR):
```
ScTc2Mo
1.0
4.461 0.000 0.000
0.000 6.314 0.000
0.000 0.000 13.393
Mo Sc Tc
6 6 12
Cartesian
0.000 0.000 0.000 Mo
2.231 3.157 2.232 Mo
0.000 0.000 4.464 Mo
2.231 3.157 6.696 Mo
0.000 0.000 8.928 Mo
2.231 3.157 11.161 Mo
0.000 3.157 0.000 Sc
2.231 0.000 2.232 Sc
0.000 3.157 4.464 Sc
2.231 0.000 6.696 Sc
0.000 3.157 8.929 Sc
2.231 0.000 11.161 Sc
2.231 1.578 0.000 Tc
2.231 4.736 0.000 Tc
0.000 1.579 2.232 Tc
0.000 4.735 2.232 Tc
2.231 1.578 4.464 Tc
2.231 4.736 4.464 Tc
0.000 1.579 6.696 Tc
0.000 4.735 6.696 Tc
2.231 1.578 8.929 Tc
2.231 4.736 8.929 Tc
0.000 1.579 11.161 Tc
0.000 4.735 11.161 Tc
```



How far above the most stable structure does each one sit? In kJ/mol of atoms: 1 3.5; 2 23.2; 3 0.0.



1 | Computed, not measured: a relaxed Mo9Se11 crystal at the GGA-PBE level of DFT.

Calculated values
Crystal system = hexagonal

Structure (POSCAR):
```
Mo9Se11
1.0
-8.838 -0.694 3.328
5.127 -7.821 -1.486
4.262 0.619 11.450
Mo Se
18 22
Cartesian
-3.483 -1.566 2.176 Mo
-5.344 -3.334 2.964 Mo
-2.945 -4.196 2.118 Mo
-4.047 -1.703 4.866 Mo
-1.683 -2.683 4.039 Mo
-3.623 -4.359 4.852 Mo
-1.870 -1.331 6.508 Mo
-3.731 -3.100 7.297 Mo
-1.332 -3.962 6.450 Mo
1.884 -3.934 6.841 Mo
4.282 -4.796 5.995 Mo
2.422 -6.565 6.783 Mo
4.174 -3.538 8.440 Mo
2.234 -5.213 9.253 Mo
4.598 -6.193 8.426 Mo
3.496 -3.700 11.174 Mo
5.895 -4.562 10.327 Mo
4.034 -6.331 11.116 Mo
-5.728 -0.747 3.198 Se
-1.091 -2.461 1.564 Se
-4.727 -5.856 3.101 Se
0.913 -5.382 1.303 Se
-2.164 -0.125 4.080 Se
-5.878 -3.384 5.638 Se
-1.311 -5.235 4.039 Se
2.162 -5.200 4.659 Se
-4.266 -0.535 7.127 Se
0.372 -2.248 5.493 Se
-3.265 -5.643 7.030 Se
3.816 -2.253 6.261 Se
0.180 -5.648 7.798 Se
4.817 -7.362 6.165 Se
-1.611 -2.696 8.633 Se
1.862 -2.661 9.253 Se
6.429 -4.512 7.653 Se
2.715 -7.771 9.212 Se
-0.362 -2.515 11.988 Se
5.279 -2.041 10.191 Se
1.642 -5.436 11.728 Se
6.280 -7.150 10.094 Se
```



2 | Computed, not measured: a relaxed Mo9Se11 crystal at the GGA-PBE level of DFT.

Calculated values
Crystal system = orthorhombic

Structure (POSCAR):
```
Mo9Se11
1.0
-3.316 7.274 -4.040
-0.488 -5.256 -7.236
-10.265 -3.060 2.916
Mo Se
18 22
Cartesian
-2.297 -3.433 -6.299 Mo
-1.904 -2.393 -3.777 Mo
-3.358 -1.622 -8.087 Mo
-3.618 1.078 -1.038 Mo
-4.053 -1.596 -5.378 Mo
-5.978 2.330 -8.035 Mo
-4.396 -3.136 -3.069 Mo
-5.850 -2.365 -7.379 Mo
-4.812 -4.182 -5.585 Mo
-9.258 3.139 -2.775 Mo
-8.220 1.322 -0.981 Mo
-9.674 2.093 -5.291 Mo
-8.091 -3.372 -0.325 Mo
-10.016 0.553 -2.982 Mo
-10.452 -2.121 -7.322 Mo
-10.712 0.580 -0.273 Mo
-12.166 1.351 -4.583 Mo
-11.772 2.390 -2.061 Mo
-1.631 -0.961 -6.082 Se
-1.165 1.756 -1.537 Se
-3.648 3.072 -8.896 Se
-4.579 2.848 -2.567 Se
-3.678 -0.636 -3.050 Se
-5.662 3.422 -5.776 Se
-5.022 0.076 -7.035 Se
-3.081 -5.907 -6.478 Se
-5.947 0.331 -0.179 Se
-8.430 1.647 -7.537 Se
-6.439 -2.395 -4.716 Se
-7.630 1.352 -3.644 Se
-5.640 -2.690 -0.823 Se
-8.122 -1.373 -8.181 Se
-10.989 4.864 -1.883 Se
-9.047 -1.119 -1.325 Se
-8.407 -4.465 -2.584 Se
-10.391 -0.406 -5.310 Se
-9.490 -3.890 -5.793 Se
-10.422 -4.115 0.535 Se
-12.904 -2.799 -6.823 Se
-12.439 -0.081 -2.278 Se
```



How far above the most stable structure does each one sit? In kJ/mol of atoms: 1 0.0; 2 1.4.